DFT (GGA-PBE) results for an optimized crystal structure of Th2CoPd.

## Properties
ρ = 11.7 g cm⁻³
E = -7.15 eV/atom

Unit cell a=3.511 b=3.511 c=7.225 alpha=90.00 beta=90.00 gamma=90.00
Fractional coordinates of all 4 atoms:
1 Th 0.000 0.000 0.230
2 Th 0.000 0.000 0.770
3 Co 0.500 0.500 0.000
4 Pd 0.500 0.500 0.500

DFT (GGA-PBE) results for an optimized crystal structure of Th8Co2Pd.

## Properties
ρ = 11.1 g cm⁻³
E = -7.29 eV/atom

Unit cell a=11.629 b=11.629 c=7.310 alpha=94.37 beta=94.37 gamma=18.35
Fractional coordinates of all 11 atoms:
1 Th 0.021 0.021 0.215
2 Th 0.239 0.239 0.785
3 Th 0.367 0.367 0.537
4 Th 0.381 0.381 0.042
5 Th 0.619 0.619 0.958
6 Th 0.633 0.633 0.463
7 Th 0.761 0.761 0.215
8 Th 0.979 0.979 0.785
9 Co 0.168 0.168 0.205
10 Co 0.832 0.832 0.795
11 Pd 0.500 0.500 0.500